Density functional theory data (PBE) for a relaxed structure of NaSm3Pu2Te6.

Lattice parameters (Å, degrees): 9.992 9.992 8.955 103.33 103.33 25.65
Atoms (fractional coordinates):
1 Na 0.000 0.000 0.000
2 Sm 0.000 0.000 0.500
3 Sm 0.334 0.334 0.170
4 Sm 0.666 0.666 0.830
5 Pu 0.333 0.333 0.667
6 Pu 0.667 0.667 0.333
7 Te 0.167 0.167 0.082
8 Te 0.167 0.167 0.581
9 Te 0.500 0.500 0.251
10 Te 0.500 0.500 0.749
11 Te 0.833 0.833 0.419
12 Te 0.833 0.833 0.918

Uncorrected formation energy, meV/atom: -1272
Space-group type: No. 12
E, eV per atom: -6.522